# AuSe, relaxed, DFT PBE-GGA
data_AuSe
_cell_length_a 4.1177
_cell_length_b 4.1177
_cell_length_c 7.1176
_cell_angle_alpha 90.00
_cell_angle_beta 90.00
_cell_angle_gamma 120.00
_space_group_name_H-M_alt 'P 63 m c'
_space_group_IT_number 186
_space_group_name_Hall 'P 6c -2c'
loop_
_atom_site_label
_atom_site_type_symbol
_atom_site_fract_x
_atom_site_fract_y
_atom_site_fract_z
Au1 Au 0.3333 0.6667 0.0000
Se1 Se 0.3333 0.6667 0.6432
# Uncorrected formation energy (eV per atom): 0.110
# Total magnetic moment (μB per formula unit): 0.0